Entry 1:
BaNaZrBiO6: optimized geometry, PBE.

```
10
Lattice="-3.282 2.181 4.489 -5.928 -0.733 -0.004 -2.552 -3.719 3.915" Properties=species:S:1:pos:R:3 pbc="T T T"
O -7.174 -2.786 4.056
O -4.224 -2.422 4.058
O -4.588 0.515 4.343
O -7.538 0.150 4.341
O -5.858 -1.336 6.292
O -5.904 -0.935 2.108
Na -8.821 -1.704 6.300
Ba -2.940 -0.568 2.100
Zr -5.881 -1.136 4.200
Bi 0.000 0.000 0.000
```

**Space group**: F-43m (216)
**Calculated volume**: 150.67 Å³/cell
**Formation energy (no corrections)**: -2137 meV/atom
**ρ**: 6.1 g/cm3

Entry 2:
Ba2NaBiP: optimized geometry, PBE.

```
5
Lattice="-1.272 5.154 -3.199 -5.958 -0.447 1.648 0.970 2.905 4.295" Properties=species:S:1:pos:R:3 pbc="T T T"
Bi -3.130 3.806 1.372
Na 0.485 1.453 2.148
P 0.000 0.000 0.000
Ba -2.979 -0.223 0.824
Ba -0.636 2.577 -1.600
```

**Space group**: P4/mmm (123)
**Calculated volume**: 202.67 Å³/cell
**Calculated formation energy**: -3.13 eV per formula unit
**ρ**: 4.4 g/cm3

Entry 3:
BaNaBiPb2: optimized geometry, PBE.

```
5
Lattice="-2.104 4.222 1.743 -2.547 0.451 -4.167 -3.146 -6.268 4.130" Properties=species:S:1:pos:R:3 pbc="T T T"
Na -3.436 -1.328 -0.930
Pb -3.085 0.650 1.956
Pb -0.585 -0.420 0.312
Ba -4.768 -3.426 2.543
Bi -6.040 -0.333 0.770
```

**Space group**: Imm2 (44)
**Calculated volume**: 181.06 Å³/cell
**Calculated formation energy**: -1.99 eV per formula unit
**ρ**: 7.2 g/cm3

Entry 4:
Ba2NaBi4Pd3: optimized geometry, PBE.

```
10
Lattice="-3.779 -3.167 -0.618 3.220 -3.763 -0.407 -0.485 -1.653 11.446" Properties=species:S:1:pos:R:3 pbc="T T T"
Bi 0.000 0.000 0.000
Bi -2.201 -2.643 7.029
Bi 1.436 -2.475 3.904
Bi -0.280 -3.465 -0.512
Ba 1.247 -3.118 8.355
Ba -2.012 -2.000 2.579
Na -0.522 -4.291 5.210
Pd -2.317 -3.040 9.772
Pd 1.552 -2.079 1.162
Pd -0.243 -0.827 5.723
```

**Space group**: P-4m2 (115)
**Calculated volume**: 285.78 Å³/cell
**Calculated formation energy**: -5.85 eV per formula unit
**ρ**: 8.4 g/cm3

Entry 5:
BaNaPmBi: optimized geometry, PBE.

```
4
Lattice="-1.086 5.104 -2.579 1.133 0.697 -5.667 -4.379 0.464 -3.808" Properties=species:S:1:pos:R:3 pbc="T T T"
Bi -2.166 3.132 -6.027
Na 0.000 0.000 0.000
Ba -3.249 4.699 -9.041
Pm -1.083 1.566 -3.014
```

**Space group**: F-43m (216)
**Calculated volume**: 139.49 Å³/cell
**Calculated formation energy**: -1.17 eV per formula unit
**ρ**: 6.1 g/cm3

Entry 6:
Ba2NaBi4Pt3: optimized geometry, PBE.

```
10
Lattice="-1.388 -2.672 3.966 -3.139 -2.607 -2.855 8.287 -7.569 -2.200" Properties=species:S:1:pos:R:3 pbc="T T T"
Ba 4.613 -6.950 -3.069
Ba 1.410 -3.258 1.424
Pt 4.143 -3.785 -1.100
Pt -0.584 -2.203 -1.689
Pt 6.607 -8.005 0.045
Bi 1.420 -4.034 -2.221
Bi -2.263 -2.639 0.556
Bi 4.603 -6.174 0.577
Bi 0.000 0.000 0.000
Na 1.880 -6.424 -0.544
```

**Space group**: P-4m2 (115)
**Calculated volume**: 283.60 Å³/cell
**Calculated formation energy**: -5.87 eV per formula unit
**ρ**: 10.1 g/cm3

Entry 7:
RbBaNa2Bi: optimized geometry, PBE.

```
5
Lattice="6.354 0.000 0.000 0.000 6.354 0.000 0.000 0.000 6.883" Properties=species:S:1:pos:R:3 pbc="T T T"
Bi 0.000 0.000 0.000
Na 0.000 3.177 0.000
Na 3.177 0.000 0.000
Rb 3.177 3.177 3.442
Ba 0.000 0.000 3.442
```

**Space group**: P4/mmm (123)
**Calculated volume**: 277.89 Å³/cell
**Calculated formation energy**: -1.06 eV per formula unit
**ρ**: 2.9 g/cm3

Entry 8:
Ba2NaBiRh: optimized geometry, PBE.

```
5
Lattice="6.180 0.000 0.000 0.000 6.180 0.000 0.000 0.000 5.257" Properties=species:S:1:pos:R:3 pbc="T T T"
Ba 0.000 3.090 0.000
Ba 3.090 0.000 0.000
Rh 0.000 0.000 0.000
Bi 0.000 0.000 2.628
Na 3.090 3.090 2.628
```

**Space group**: P4/mmm (123)
**Calculated volume**: 200.73 Å³/cell
**Calculated formation energy**: -1.58 eV per formula unit
**ρ**: 5.0 g/cm3

Entry 9:
BaNaBi2Rh: optimized geometry, PBE.

```
5
Lattice="5.483 0.000 0.000 0.000 5.705 0.000 0.000 0.000 5.483" Properties=species:S:1:pos:R:3 pbc="T T T"
Bi 2.742 0.000 0.000
Bi 0.000 0.000 2.742
Ba 0.000 2.853 0.000
Na 2.742 2.853 2.742
Rh 0.000 0.000 0.000
```

**Space group**: P4/mmm (123)
**Calculated volume**: 171.52 Å³/cell
**Calculated formation energy**: -0.99 eV per formula unit
**ρ**: 6.6 g/cm3

Entry 10:
BaNaBiS3: optimized geometry, PBE.

```
12
Lattice="-4.075 1.283 -0.477 -2.478 -8.238 -0.990 -0.489 1.838 9.117" Properties=species:S:1:pos:R:3 pbc="T T T"
S -5.315 -6.148 -0.189
S -3.152 -5.085 3.559
S -3.890 -0.032 4.091
S -4.260 -2.493 0.626
S -2.782 -2.623 7.024
S -1.727 1.031 7.839
Na -1.555 0.599 5.211
Na -5.487 -5.716 2.440
Ba -1.693 -1.049 1.950
Ba -5.350 -4.067 5.700
Bi -4.268 -0.119 7.079
Bi -2.775 -4.998 0.571
```

**Space group**: P2_1/m (11)
**Calculated volume**: 332.36 Å³/cell
**Formation energy (no corrections)**: -1065 meV/atom
**ρ**: 4.7 g/cm3

Entry 11:
BaNaBi2S4: optimized geometry, PBE.

```
16
Lattice="4.530 0.000 0.000 -2.265 6.779 0.000 0.000 0.000 13.988" Properties=species:S:1:pos:R:3 pbc="T T T"
S 2.265 3.185 8.524
S 0.000 0.000 0.000
S 0.000 3.593 5.464
S 0.000 0.000 6.994
S 0.000 3.593 1.530
S 2.265 3.185 12.458
S 2.265 0.466 3.497
S 0.000 6.313 10.491
Ba 0.000 1.759 10.491
Ba 2.265 5.020 3.497
Bi 0.000 5.114 13.277
Bi 2.265 1.665 6.283
Bi 2.265 1.665 0.711
Bi 0.000 5.114 7.705
Na 2.265 4.969 10.491
Na 0.000 1.810 3.497
```

**Space group**: Cmcm (63)
**Calculated volume**: 429.58 Å³/cell
**Formation energy (no corrections)**: -843 meV/atom
**ρ**: 5.5 g/cm3

Entry 12:
Ba2NaBiS4: optimized geometry, PBE.

```
16
Lattice="-5.189 1.621 -6.703 -6.937 -1.877 4.779 5.835 6.009 2.719" Properties=species:S:1:pos:R:3 pbc="T T T"
Na -3.469 -0.938 2.390
Na -5.740 3.687 -2.954
Bi 0.645 7.630 -3.984
Bi -3.146 2.877 0.397
S -3.511 1.999 3.122
S -6.039 2.968 -0.106
S -0.636 4.919 4.761
S -5.656 0.834 -3.966
S -0.253 2.785 0.901
S -2.781 3.754 -2.327
S -3.374 5.711 1.135
S -2.918 0.042 -0.341
Ba -6.063 -0.128 -0.962
Ba 0.323 3.815 -1.992
Ba 2.917 3.004 1.359
Ba -2.595 0.810 -3.351
```

**Space group**: Imma (74)
**Calculated volume**: 457.26 Å³/cell
**Formation energy (no corrections)**: -1346 meV/atom
**ρ**: 4.6 g/cm3

Entry 13:
Ba2NaBiS: optimized geometry, PBE.

```
5
Lattice="-0.303 -3.440 5.021 -4.706 -3.055 -2.378 3.305 -3.422 -2.145" Properties=species:S:1:pos:R:3 pbc="T T T"
Na 1.653 -1.711 -1.073
Ba -0.152 -1.720 2.510
Ba -2.353 -1.528 -1.189
S 0.000 0.000 0.000
Bi -0.852 -4.959 0.249
```

**Space group**: P4/mmm (123)
**Calculated volume**: 193.83 Å³/cell
**Formation energy (no corrections)**: -1149 meV/atom
**ρ**: 4.6 g/cm3

Entry 14:
BaNa2BiS4: optimized geometry, PBE.

```
16
Lattice="8.465 -0.035 -0.256 -0.041 8.465 -0.256 -4.344 -4.347 6.219" Properties=species:S:1:pos:R:3 pbc="T T T"
S 1.995 2.135 5.703
S 0.093 -0.045 2.850
S 0.120 4.099 2.950
S 3.986 4.127 2.856
S 2.018 6.546 -0.159
S 2.085 1.948 0.003
S 2.061 -2.464 5.865
S 3.959 -0.017 2.756
Na 4.232 -0.018 -0.128
Na 4.212 4.215 -0.256
Na 2.060 -2.191 2.981
Na -2.172 -2.174 3.109
Bi 2.040 2.041 2.853
Bi 4.120 -4.383 5.962
Ba -0.021 4.232 -0.128
Ba 6.272 2.023 2.725
```

**Space group**: Imma (74)
**Calculated volume**: 426.65 Å³/cell
**Formation energy (no corrections)**: -961 meV/atom
**ρ**: 4.1 g/cm3

Entry 15:
Ba2NaBiSe: optimized geometry, PBE.

```
5
Lattice="6.261 0.000 0.000 0.000 6.261 0.000 0.000 0.000 5.336" Properties=species:S:1:pos:R:3 pbc="T T T"
Bi 3.131 3.131 2.668
Ba 0.000 3.131 0.000
Ba 3.131 0.000 0.000
Se 0.000 0.000 0.000
Na 0.000 0.000 2.668
```

**Space group**: P4/mmm (123)
**Calculated volume**: 209.16 Å³/cell
**Formation energy (no corrections)**: -1064 meV/atom
**ρ**: 4.6 g/cm3

Entry 16:
Ba2NaBiSe4: optimized geometry, PBE.

```
16
Lattice="-2.994 2.278 8.137 -2.374 -8.491 1.622 8.530 2.042 -2.564" Properties=species:S:1:pos:R:3 pbc="T T T"
Se 2.743 -0.662 1.162
Se -1.152 -1.594 2.332
Se 4.314 -2.576 4.862
Se 1.699 -4.614 1.973
Se -2.816 -0.332 6.652
Se 5.978 -3.838 0.543
Se 1.463 0.444 5.221
Se 0.419 -3.509 6.033
Ba -2.684 -3.106 4.879
Ba 2.768 2.160 2.786
Ba 4.265 1.021 -1.282
Ba -1.497 1.139 4.068
Bi 1.581 -2.085 3.597
Bi 5.536 4.320 5.572
Na 0.084 -0.946 7.665
Na -1.187 -4.245 0.811
```

**Space group**: Imma (74)
**Calculated volume**: 512.21 Å³/cell
**Formation energy (no corrections)**: -1326 meV/atom
**ρ**: 5.3 g/cm3

Entry 17:
BaNa2SiBi: optimized geometry, PBE.

```
5
Lattice="-0.190 4.376 -4.467 -5.526 -2.272 -1.991 -2.995 3.859 3.908" Properties=species:S:1:pos:R:3 pbc="T T T"
Bi -2.763 -1.136 -0.995
Na -0.095 2.188 -2.233
Na -1.497 1.930 1.954
Si -4.355 2.982 -1.274
Ba 0.000 0.000 0.000
```

**Space group**: P4/mmm (123)
**Calculated volume**: 246.49 Å³/cell
**Energy above the most stable polymorph in this dataset**: 95.36 kJ/mol of atoms
**Formation energy (no corrections)**: 1074 meV/atom
**ρ**: 2.8 g/cm3

Entry 18:
BaNa2SiBi: optimized geometry, PBE.

```
5
Lattice="5.525 0.000 0.000 0.000 6.150 0.000 0.000 0.000 5.525" Properties=species:S:1:pos:R:3 pbc="T T T"
Bi 2.763 3.075 2.763
Na 2.763 0.000 0.000
Na 0.000 0.000 2.763
Si 0.000 0.000 0.000
Ba 0.000 3.075 0.000
```

**Space group**: P4/mmm (123)
**Calculated volume**: 187.74 Å³/cell
**Energy above the most stable polymorph in this dataset**: 0.00 kJ/mol of atoms
**Formation energy (no corrections)**: 85 meV/atom
**ρ**: 3.7 g/cm3

Entry 19:
BaNaSnBi2: optimized geometry, PBE.

```
10
Lattice="6.780 0.000 0.000 0.000 6.813 0.000 0.000 -3.406 7.896" Properties=species:S:1:pos:R:3 pbc="T T T"
Sn 0.000 3.406 0.000
Sn 0.000 0.000 0.000
Na 3.390 5.110 0.000
Na 3.390 1.703 0.000
Bi 4.917 3.406 5.495
Bi 4.917 3.406 2.401
Bi 1.863 0.000 5.495
Bi 1.863 0.000 2.401
Ba 5.233 0.000 3.948
Ba 1.547 3.406 3.948
```

**Space group**: Cmme (67)
**Calculated volume**: 364.72 Å³/cell
**Calculated formation energy**: -1.73 eV per formula unit
**ρ**: 6.3 g/cm3

Entry 20:
Ba2Na3SrBi4: optimized geometry, PBE.

```
10
Lattice="-2.198 -2.768 -3.822 4.717 -1.162 -1.872 0.370 -11.071 7.805" Properties=species:S:1:pos:R:3 pbc="T T T"
Ba 2.646 -9.160 5.112
Ba -1.016 -3.876 -0.155
Sr 1.445 -7.501 1.055
Bi 0.000 0.000 0.000
Bi 1.259 -1.965 -2.847
Bi -0.858 -8.605 3.180
Bi 2.487 -4.431 1.778
Na 0.185 -5.536 3.902
Na 2.406 -2.004 0.067
Na -0.776 -11.033 4.891
```

**Space group**: P-4m2 (115)
**Calculated volume**: 367.30 Å³/cell
**Calculated formation energy**: -6.22 eV per formula unit
**ρ**: 5.7 g/cm3

Entry 21:
BaNaSrBi: optimized geometry, PBE.

```
4
Lattice="6.065 0.000 0.000 3.032 5.252 0.000 3.032 1.751 4.952" Properties=species:S:1:pos:R:3 pbc="T T T"
Sr 3.032 1.751 1.238
Na 0.000 0.000 0.000
Bi 6.065 3.502 2.476
Ba 9.097 5.252 3.714
```

**Space group**: F-43m (216)
**Calculated volume**: 157.75 Å³/cell
**Calculated formation energy**: -1.96 eV per formula unit
**ρ**: 4.8 g/cm3

Entry 22:
BaNaBi2Te4: optimized geometry, PBE.

```
16
Lattice="4.970 0.000 0.000 -2.485 7.520 0.000 0.000 0.000 15.440" Properties=species:S:1:pos:R:3 pbc="T T T"
Bi 0.000 5.656 14.560
Bi 2.485 1.864 6.840
Bi 0.000 5.656 8.600
Bi 2.485 1.864 0.880
Ba 2.485 5.474 3.860
Ba 0.000 2.046 11.580
Na 2.485 5.589 11.580
Na 0.000 1.931 3.860
Te 2.485 3.531 13.761
Te 0.000 0.000 0.000
Te 2.485 3.531 9.398
Te 0.000 0.000 7.720
Te 0.000 7.121 11.580
Te 0.000 3.989 6.041
Te 0.000 3.989 1.678
Te 2.485 0.399 3.860
```

**Space group**: Cmcm (63)
**Calculated volume**: 577.10 Å³/cell
**Formation energy (no corrections)**: -640 meV/atom
**ρ**: 6.3 g/cm3

Entry 23:
BaNaBiTe3: optimized geometry, PBE.

```
12
Lattice="4.791 0.000 0.000 0.000 8.752 -0.700 0.000 -3.008 10.533" Properties=species:S:1:pos:R:3 pbc="T T T"
Te 1.198 -2.069 9.320
Te 1.198 4.936 4.429
Te 3.593 7.813 0.513
Te 3.593 0.808 5.404
Te 1.198 2.140 8.562
Te 3.593 3.603 1.271
Na 3.593 6.627 3.472
Na 1.198 -0.884 6.361
Bi 1.198 5.771 0.944
Bi 3.593 -0.027 8.889
Ba 3.593 4.242 6.969
Ba 1.198 1.502 2.864
```

**Space group**: P2_1/m (11)
**Calculated volume**: 431.57 Å³/cell
**Formation energy (no corrections)**: -870 meV/atom
**ρ**: 5.8 g/cm3